BeCoRu2 (GGA-PBE, relaxed); DOS at the Fermi energy = 3.98 states/eV/f.u.; formation energy = 0.16 eV per atom
1.0
-1.5918 -3.7692 -0.3704
0.4870 -2.1010 -3.4966
2.4777 -3.2754 -0.1002
Co Ru Be
1 2 1
direct
0.7500 0.7500 0.7500 Co
0.0000 0.0000 0.0000 Ru
0.2500 0.2500 0.2500 Ru
0.5000 0.5000 0.5000 Be